Entry 1:
The following is a PBE calculation of BaFe2S4 after structural relaxation, from OQMD via LeMat-Bulk.

The structure in POSCAR format:
```
BaFe2S4
1.0
-2.458 0.987 5.323
-1.406 2.297 -5.301
-1.511 -5.687 -0.851
Ba Fe S
1 2 4
Direct
0.000 0.000 0.000
0.750 0.250 0.500
0.250 0.750 0.500
0.806 0.386 0.192
0.614 0.806 0.420
0.386 0.194 0.580
0.194 0.614 0.808
```

DFT total energy	-5.8731	eV/atom

Entry 2:
The following is a PBE calculation of BeNb2Co after structural relaxation, from OQMD via LeMat-Bulk.

The structure in POSCAR format:
```
BeNb2Co
1.0
0.000 3.049 3.049
3.049 0.000 3.049
3.049 3.049 0.000
Be Co Nb
1 1 2
Direct
0.500 0.500 0.500
0.250 0.250 0.250
0.000 0.000 0.000
0.750 0.750 0.750
```

DFT total energy	-7.4738	eV/atom

Entry 3:
The following is a PBE calculation of Sc2SiGePt4 after structural relaxation, from OQMD via LeMat-Bulk.

The structure in POSCAR format:
```
Sc2SiGePt4
1.0
-4.362 5.574 0.679
-4.203 -3.315 0.210
-2.885 -2.699 3.619
Ge Pt Sc Si
1 4 2 1
Direct
0.000 0.735 0.735
0.208 0.134 0.134
0.792 0.134 0.134
0.304 0.864 0.864
0.696 0.864 0.864
0.000 0.455 0.455
0.500 0.547 0.547
0.500 0.266 0.266
```

DFT total energy	-6.9294	eV/atom

Entry 4:
The following is a PBE calculation of SmSnPbSe3 after structural relaxation, from OQMD via LeMat-Bulk.

The structure in POSCAR format:
```
SmSnPbSe3
1.0
6.252 1.401 -4.202
-7.514 1.129 0.985
2.083 8.642 5.979
Pb Se Sm Sn
2 6 2 2
Direct
0.257 0.743 0.250
0.743 0.257 0.750
0.642 0.358 0.026
0.894 0.106 0.250
0.642 0.358 0.474
0.358 0.642 0.526
0.106 0.894 0.750
0.358 0.642 0.974
0.000 0.000 0.000
0.000 0.000 0.500
0.548 0.452 0.250
0.452 0.548 0.750
```

DFT total energy	-4.5883	eV/atom

Entry 5:
The following is a PBE calculation of ZnI2 after structural relaxation, from OQMD via LeMat-Bulk.

The structure in POSCAR format:
```
ZnI2
1.0
-0.038 5.422 -4.998
1.791 -5.879 -6.392
-6.983 -1.002 -1.034
I Zn
8 4
Direct
0.575 0.125 0.000
0.075 0.375 0.000
0.917 0.128 0.498
0.417 0.372 0.498
0.925 0.625 0.500
0.425 0.875 0.500
0.583 0.628 0.998
0.083 0.872 0.998
0.578 0.125 0.374
0.078 0.375 0.374
0.922 0.625 0.874
0.422 0.875 0.874
```

DFT total energy	-2.0356	eV/atom

Entry 6:
The following is a PBE calculation of PrHoIn2Pd4 after structural relaxation, from OQMD via LeMat-Bulk.

The structure in POSCAR format:
```
PrHoIn2Pd4
1.0
-3.226 -3.257 0.587
2.700 -0.071 -3.750
6.014 -5.159 4.427
Ho In Pd Pr
1 2 4 1
Direct
0.000 0.000 0.000
0.333 0.667 0.241
0.333 0.667 0.759
0.667 0.333 0.157
0.000 0.000 0.327
0.000 0.000 0.673
0.667 0.333 0.843
0.667 0.333 0.500
```

DFT total energy	-5.2408	eV/atom

Entry 7:
The following is a PBE calculation of LuZnCoNi after structural relaxation, from OQMD via LeMat-Bulk.

The structure in POSCAR format:
```
LuZnCoNi
1.0
-4.226 -1.001 0.164
-2.962 2.833 -1.446
-2.183 -0.821 -3.667
Co Lu Ni Zn
1 1 1 1
Direct
0.750 0.750 0.750
0.500 0.500 0.500
0.250 0.250 0.250
0.000 0.000 0.000
```

ΔH_f (0 K)	-241	meV per atom

Entry 8:
The following is a PBE calculation of ErI after structural relaxation, from OQMD via LeMat-Bulk.

The structure in POSCAR format:
```
ErI
1.0
-3.868 -2.879 0.253
-3.208 0.574 3.563
-4.390 1.764 -0.965
Er I
1 1
Direct
0.000 0.000 0.000
0.250 0.250 0.250
```

DFT total energy	-3.0471	eV/atom

Let's list V in order: 146.7; 56.7; 132.5; 337.6; 466.2; 167.9; 58.0; 79.6 Å³ per cell.